1.
The following is a DFT calculation (PBE) of crystalline SiBr at its relaxed geometry.

Results
SG: Cm
Raw formation energy, eV/atom: -0.09
E_tot, eV per atom: -3.64
Total magnetic moment, μB per atom: 0.000

Cell lengths 7.3831, 7.3831, 7.4037 Å; angles 102.34, 102.34, 29.49 degrees
With the nearest neighbours (Å) after each atom.
Sites, in units of the cell vectors:
Si: 0.7460 0.7460 0.7758  1 Br 2.35, 2 Si 2.63
Si: 0.9265 0.9265 0.6514  1 Br 2.27, 2 Si 2.40
Si: 0.3189 0.3189 0.6006  1 Br 2.25, 2 Si 2.40
Br: 0.9783 0.9783 0.9643  1 Si 2.27
Br: 0.2622 0.2622 0.2914  1 Si 2.25
Br: 0.6015 0.6015 0.5499  1 Si 2.35

2.
The following is a DFT calculation (PBE) of crystalline Si2Br at its relaxed geometry.

Results
SG: C2/m
Raw formation energy, eV/atom: -0.28
E_tot, eV per atom: -4.45
Total magnetic moment, μB per atom: 0.000

Cell lengths 3.9137, 3.9137, 11.9374 Å; angles 87.45, 87.45, 60.03 degrees
With the nearest neighbours (Å) after each atom.
Sites, in units of the cell vectors:
Br: 0.8918 0.8918 0.0101  1 Si 2.25
Br: 0.4971 0.4971 0.7121  1 Si 2.25
Si: 0.5125 0.5125 0.5238  1 Br 2.25, 3 Si 2.38
Si: 0.1848 0.1848 0.4605  4 Si 2.37-2.38
Si: 0.2041 0.2041 0.2617  4 Si 2.37-2.38
Si: 0.8764 0.8764 0.1985  1 Br 2.25, 3 Si 2.38

3.
The following is a DFT calculation (PBE) of crystalline Si2Br3 at its relaxed geometry.

Results
SG: R-3m
Raw formation energy, eV/atom: 0.16
E_tot, eV per atom: -3.02
Total magnetic moment, μB per atom: 0.000

Cell lengths 11.5589, 11.5589, 11.5589 Å; angles 18.46, 18.46, 18.46 degrees
With the nearest neighbours (Å) after each atom.
Sites, in units of the cell vectors:
Si: 0.3955 0.3955 0.3955  6 Br 2.77-3.01
Si: 0.6045 0.6045 0.6045  6 Br 2.77-3.01
Br: 0.0000 0.0000 0.0000  6 Si 3.01
Br: 0.7805 0.7805 0.7805  3 Si 2.77
Br: 0.2195 0.2195 0.2195  3 Si 2.77

4.
The following is a DFT calculation (PBE) of crystalline SiBr at its relaxed geometry.

Results
SG: R-3m
Raw formation energy, eV/atom: -0.01
E_tot, eV per atom: -3.56
Total magnetic moment, μB per atom: 0.000

Cell lengths 8.3799, 8.3799, 8.3799 Å; angles 27.01, 27.01, 27.01 degrees
With the nearest neighbours (Å) after each atom.
Sites, in units of the cell vectors:
Br: 0.9647 0.9647 0.9647  3 Si 2.91
Br: 0.7853 0.7853 0.7853  3 Si 2.91
Si: 0.5554 0.5554 0.5554  3 Si 2.36
Si: 0.1946 0.1946 0.1946  3 Si 2.36

5.
The following is a DFT calculation (PBE) of crystalline SiBr at its relaxed geometry.

Results
SG: C2/m
Raw formation energy, eV/atom: -0.42
E_tot, eV per atom: -3.97
Total magnetic moment, μB per atom: 0.000

Cell lengths 8.8168, 3.9740, 6.8780 Å; angles 90.00, 96.08, 90.00 degrees
With the nearest neighbours (Å) after each atom.
Sites, in units of the cell vectors:
Si: 0.5404 0.0000 0.1722  1 Br 2.25, 3 Si 2.40
Si: 0.4596 0.0000 0.8278  1 Br 2.25, 3 Si 2.40
Si: 0.5404 0.5000 0.6722  1 Br 2.25, 3 Si 2.40
Si: 0.4596 0.5000 0.3278  1 Br 2.25, 3 Si 2.40
Br: 0.7971 0.0000 0.2072  1 Si 2.25
Br: 0.2029 0.0000 0.7928  1 Si 2.25
Br: 0.7971 0.5000 0.7072  1 Si 2.25
Br: 0.2029 0.5000 0.2928  1 Si 2.25

6.
The following is a DFT calculation (PBE) of crystalline SiBr at its relaxed geometry.

Results
SG: P1
Raw formation energy, eV/atom: 0.38
E_tot, eV per atom: -3.17
Total magnetic moment, μB per atom: 0.000

Cell lengths 3.4197, 3.4215, 5.9372 Å; angles 89.69, 106.40, 120.07 degrees
With the nearest neighbours (Å) after each atom.
Sites, in units of the cell vectors:
Si: 0.8743 0.4703 0.6548  1 Br 2.23
Br: 0.6178 0.3440 0.2587  1 Si 2.23